TiCo2O4: relaxed, PBE+U.

abc: 10.500 3.055 5.188
angles: 90.00 115.15 90.00
Space group C2/m (No. 12)
One atom of each set of equivalent atoms:
1 Ti 0.000 0.000 0.000 x2
2 Co 0.195 0.500 0.674 x4
3 O 0.118 0.500 0.963 x4
4 O 0.123 0.000 0.405 x4

## Properties
**Crystal system**: monoclinic
**Energy above the lowest structure with this stoichiometry**: 74.9 meV/atom